(1)
This record from Alexandria via LeMat-Bulk describes SrFePtBr2 after structural relaxation. The functional is GGA-PBEsol.

Unit cell a=5.2118 b=5.2118 c=4.7778 alpha=90.00 beta=90.00 gamma=90.00
Fractional positions:
Sr: 0.0000 0.0000 0.0000
Fe: 0.5000 0.5000 0.0000
Pt: 0.5000 0.5000 0.5000
Br: 0.0000 0.5000 0.5000
Br: 0.5000 0.0000 0.5000

Density of states at the Fermi level = 3.83 states/eV/f.u.
Energy relative to the elements, uncorrected = -0.3 eV/f.u.
Total energy = -4.3612 eV per atom

---

(2)
This record from Alexandria via LeMat-Bulk describes RbFeBr4 after structural relaxation. The functional is GGA-PBEsol.

Unit cell a=11.6701 b=7.3505 c=9.8276 alpha=90.00 beta=90.00 gamma=90.00
Fractional positions:
Rb: 0.1844 0.2500 0.1687
Rb: 0.3156 0.7500 0.6687
Rb: 0.6844 0.2500 0.3313
Rb: 0.8156 0.7500 0.8313
Fe: 0.0581 0.2500 0.6947
Fe: 0.4419 0.7500 0.1947
Fe: 0.5581 0.2500 0.8053
Fe: 0.9419 0.7500 0.3053
Br: 0.0801 0.5058 0.8332
Br: 0.0801 0.9942 0.8332
Br: 0.1241 0.7500 0.3968
Br: 0.2021 0.2500 0.5324
Br: 0.2979 0.7500 0.0324
Br: 0.3759 0.2500 0.8968
Br: 0.4199 0.0058 0.3332
Br: 0.4199 0.4942 0.3332
Br: 0.5801 0.5058 0.6669
Br: 0.5801 0.9942 0.6669
Br: 0.6241 0.7500 0.1032
Br: 0.7021 0.2500 0.9676
Br: 0.7979 0.7500 0.4676
Br: 0.8759 0.2500 0.6032
Br: 0.9199 0.0058 0.1668
Br: 0.9199 0.4942 0.1668

Energy relative to the elements, uncorrected = -5.3 eV/f.u.
Total energy = -3.7936 eV per atom

---

(3)
This record from Alexandria via LeMat-Bulk describes RbFe2SbBr after structural relaxation. The functional is GGA-PBEsol.

Unit cell a=4.8772 b=4.8772 c=5.6157 alpha=90.00 beta=90.00 gamma=90.00
Fractional positions:
Rb: 0.0000 0.0000 0.0000
Fe: 0.0000 0.5000 0.0000
Fe: 0.5000 0.0000 0.0000
Sb: 0.5000 0.5000 0.5000
Br: 0.0000 0.0000 0.5000

Density of states at the Fermi level = 8.57 states/eV/f.u.
Energy relative to the elements, uncorrected = 9.8 eV/f.u.
Total energy = -3.1203 eV per atom

---

(4)
This record from Alexandria via LeMat-Bulk describes FeRe2Br after structural relaxation. The functional is GGA-PBEsol.

Unit cell a=2.7712 b=2.7712 c=9.0649 alpha=90.00 beta=90.00 gamma=116.21
Fractional positions:
Fe: 0.0000 0.0000 0.0000
Re: 0.0000 0.0000 0.4620
Re: 0.5000 0.5000 0.2286
Br: 0.5000 0.5000 0.7690

Density of states at the Fermi level = 3.61 states/eV/f.u.
Energy relative to the elements, uncorrected = 3.0 eV/f.u.
Total energy = -8.6243 eV per atom

---

(5)
This record from Alexandria via LeMat-Bulk describes FeRe2Br after structural relaxation. The functional is GGA-PBEsol.

Unit cell a=4.2727 b=4.2727 c=4.2727 alpha=60.00 beta=60.00 gamma=60.00
Fractional positions:
Fe: 0.0000 0.0000 0.0000
Re: 0.2500 0.2500 0.2500
Re: 0.7500 0.7500 0.7500
Br: 0.5000 0.5000 0.5000

Density of states at the Fermi level = 3.74 states/eV/f.u.
Energy relative to the elements, uncorrected = 4.3 eV/f.u.
Total energy = -8.3021 eV per atom

---

(6)
This record from Alexandria via LeMat-Bulk describes FeRe2Br after structural relaxation. The functional is GGA-PBEsol.

Unit cell a=3.0284 b=2.9922 c=7.2959 alpha=90.00 beta=90.98 gamma=90.00
Fractional positions:
Fe: 0.0000 0.0000 0.0000
Re: 0.0211 0.0000 0.4141
Re: 0.5135 0.5000 0.2173
Br: 0.0589 0.5000 0.7178

Density of states at the Fermi level = 4.84 states/eV/f.u.
Energy relative to the elements, uncorrected = 2.2 eV/f.u.
Total energy = -8.8276 eV per atom

---

(7)
This record from Alexandria via LeMat-Bulk describes FeReSeBr2 after structural relaxation. The functional is GGA-PBEsol.

Unit cell a=5.1273 b=5.1273 c=4.6687 alpha=90.00 beta=90.00 gamma=90.00
Fractional positions:
Fe: 0.0000 0.0000 0.0000
Re: 0.5000 0.5000 0.5000
Se: 0.5000 0.5000 0.0000
Br: 0.0000 0.5000 0.5000
Br: 0.5000 0.0000 0.5000

Density of states at the Fermi level = 9.65 states/eV/f.u.
Energy relative to the elements, uncorrected = 5.2 eV/f.u.
Total energy = -4.9377 eV per atom

---

(8)
This record from Alexandria via LeMat-Bulk describes Fe2RhBr after structural relaxation. The functional is GGA-PBEsol.

Unit cell a=4.2925 b=4.2925 c=4.2925 alpha=60.00 beta=60.00 gamma=60.00
Fractional positions:
Fe: 0.0000 0.0000 0.0000
Fe: 0.2500 0.2500 0.2500
Rh: 0.5000 0.5000 0.5000
Br: 0.7500 0.7500 0.7500

Density of states at the Fermi level = 4.33 states/eV/f.u.
Energy relative to the elements, uncorrected = 2.8 eV/f.u.
Total energy = -6.2737 eV per atom

---

(9)
This record from Alexandria via LeMat-Bulk describes FeRhBr2 after structural relaxation. The functional is GGA-PBEsol.

Unit cell a=3.3312 b=3.3312 c=7.9574 alpha=90.00 beta=90.00 gamma=123.88
Fractional positions:
Fe: 0.0000 0.0000 0.0000
Rh: 0.0000 0.0000 0.5000
Br: 0.5000 0.5000 0.2419
Br: 0.5000 0.5000 0.7581

Density of states at the Fermi level = 4.74 states/eV/f.u.
Energy relative to the elements, uncorrected = 2.4 eV/f.u.
Total energy = -4.6227 eV per atom

---

(10)
This record from Alexandria via LeMat-Bulk describes Fe2RhBr after structural relaxation. The functional is GGA-PBEsol.

Unit cell a=3.0098 b=3.2677 c=6.6925 alpha=90.00 beta=90.00 gamma=90.00
Fractional positions:
Fe: 0.0000 0.0000 0.1894
Fe: 0.0000 0.0000 0.8106
Rh: 0.5000 0.5000 0.0000
Br: 0.5000 0.0000 0.5000

Density of states at the Fermi level = 4.38 states/eV/f.u.
Energy relative to the elements, uncorrected = 1.5 eV/f.u.
Total energy = -6.6122 eV per atom

---

(11)
This record from Alexandria via LeMat-Bulk describes ZnFe2RhBr after structural relaxation. The functional is GGA-PBEsol.

Unit cell a=4.6327 b=4.6327 c=4.7391 alpha=90.00 beta=90.00 gamma=90.00
Fractional positions:
Zn: 0.0000 0.0000 0.0000
Fe: 0.0000 0.5000 0.5000
Fe: 0.5000 0.0000 0.5000
Rh: 0.0000 0.0000 0.5000
Br: 0.5000 0.5000 0.0000

Density of states at the Fermi level = 5.33 states/eV/f.u.
Energy relative to the elements, uncorrected = 4.6 eV/f.u.
Total energy = -4.9833 eV per atom

---

(12)
This record from Alexandria via LeMat-Bulk describes FeRu2Br after structural relaxation. The functional is GGA-PBEsol.

Unit cell a=2.9611 b=2.9611 c=6.4846 alpha=90.00 beta=90.00 gamma=90.00
Fractional positions:
Fe: 0.0000 0.0000 0.0000
Ru: 0.5000 0.5000 0.2138
Ru: 0.5000 0.5000 0.7862
Br: 0.0000 0.0000 0.5000

Density of states at the Fermi level = 4.40 states/eV/f.u.
Energy relative to the elements, uncorrected = 2.4 eV/f.u.
Total energy = -7.1835 eV per atom